A geometry-optimized TcAgI4 structure. Source: Alexandria, functional GGA-PBE.

## Properties
As for the total energy: -3.30 eV per atom. Its crystal system is monoclinic. Its magnetic moment is 2.00 μB/f.u. The symmetry is C2/m, No. 12.

Cell lengths 4.136, 7.294, 7.637 Å; angles 99.89, 90.01, 106.47 degrees
Element x y z (fractional)
Ag 0.500 0.000 0.500
I 0.891 0.782 0.662
I 0.612 0.225 0.908
I 0.109 0.218 0.338
I 0.388 0.775 0.092
Tc 0.000 0.000 0.000



A geometry-optimized TcAgI3 structure. Source: Alexandria, functional GGA-PBE.

## Properties
As for the total energy: -3.08 eV per atom. Its crystal system is cubic. Its magnetic moment is 2.93 μB/f.u. The symmetry is Pm-3m, No. 221.

Cell lengths 5.548, 5.548, 5.548 Å; angles 90.00, 90.00, 90.00 degrees
Element x y z (fractional)
Ag 0.500 0.500 0.500
I 0.000 0.500 0.000
I 0.000 0.000 0.500
I 0.500 0.000 0.000
Tc 0.000 0.000 0.000



A geometry-optimized Tc2AgI2 structure. Source: Alexandria, functional GGA-PBE.

## Properties
As for the total energy: -4.17 eV per atom. Its crystal system is tetragonal. Its magnetic moment is 0.00 μB/f.u. The symmetry is P4/mbm, No. 127.

Cell lengths 8.007, 8.007, 3.200 Å; angles 90.00, 90.00, 90.00 degrees
Element x y z (fractional)
I 0.651 0.151 0.000
I 0.151 0.349 0.000
I 0.349 0.849 0.000
I 0.849 0.651 0.000
Ag 0.000 0.000 0.000
Ag 0.500 0.500 0.000
Tc 0.865 0.365 0.500
Tc 0.135 0.635 0.500
Tc 0.635 0.865 0.500
Tc 0.365 0.135 0.500



A geometry-optimized TcAgI2 structure. Source: Alexandria, functional GGA-PBE.

## Properties
As for the total energy: -3.22 eV per atom. Its crystal system is cubic. Its magnetic moment is 0.00 μB/f.u. The symmetry is Fm-3m, No. 225.

Cell lengths 5.008, 5.008, 5.008 Å; angles 60.00, 60.00, 60.00 degrees
Element x y z (fractional)
Tc 0.000 0.000 0.000
I 0.750 0.750 0.750
I 0.250 0.250 0.250
Ag 0.500 0.500 0.500



A geometry-optimized Tc2AgI structure. Source: Alexandria, functional GGA-PBE.

## Properties
As for the total energy: -5.27 eV per atom. Its crystal system is cubic. Its magnetic moment is 0.00 μB/f.u. The symmetry is Fm-3m, No. 225.

Cell lengths 4.575, 4.575, 4.575 Å; angles 60.00, 60.00, 60.00 degrees
Element x y z (fractional)
Tc 0.750 0.750 0.750
Tc 0.250 0.250 0.250
I 0.500 0.500 0.500
Ag 0.000 0.000 0.000



A geometry-optimized TcAgI3 structure. Source: Alexandria, functional GGA-PBE.

## Properties
As for the total energy: -2.67 eV per atom. Its crystal system is cubic. Its magnetic moment is 5.05 μB/f.u. The symmetry is Pm-3m, No. 221.

Cell lengths 5.679, 5.679, 5.679 Å; angles 90.00, 90.00, 90.00 degrees
Element x y z (fractional)
I 0.500 0.000 0.000
I 0.000 0.500 0.000
I 0.000 0.000 0.500
Ag 0.000 0.000 0.000
Tc 0.500 0.500 0.500



- What is the formula in the first record?
  TcAgI4